Computed, not measured: an optimized crystal structure of NaPrWO5 at the GGA+U level of DFT.

DFT total energy: -7.08 eV per atom
Total magnetic moment: 0.00 μB per atom

abc: 7.150 11.058 8.359
angles: 90.00 113.80 90.00
Space group C2/c (No. 15)
One atom of each set of equivalent atoms:
Na 0.000 0.221 0.250 (multiplicity 4)
Pr 0.000 0.500 0.000 (multiplicity 4)
W 0.000 0.206 0.750 (multiplicity 4)
O 0.000 0.420 0.250 (multiplicity 4)
O 0.139 0.303 0.657 (multiplicity 8)
O 0.173 0.111 0.922 (multiplicity 8)